18
Lattice="5.710 0.000 0.000 -2.855 4.945 0.000 0.000 0.000 12.141" Properties=species:S:1:pos:R:3 comment="LiNpTlF6 | Alexandria via LeMat-Bulk | PBE | relaxed" spacegroup="P-31c (163)" magmom_total_mub_per_cell=6.00 final_energy_ev_per_cell=-110.81 vol_a3_per_cell=342.82 pbc="T T T"
Li 0.000 3.297 3.035
Li 2.855 1.648 9.106
Np 0.000 3.297 9.106
Np 2.855 1.648 3.035
Tl 0.000 0.000 0.000
Tl 0.000 0.000 6.071
F -1.030 1.864 1.873
F -1.756 3.121 4.197
F 1.030 1.864 4.197
F -0.726 4.905 1.873
F 2.129 0.040 7.944
F 1.099 1.824 10.268
F 1.756 3.121 1.873
F 0.726 4.905 4.197
F 3.581 0.040 10.268
F 1.825 3.081 7.944
F 4.611 1.824 7.944
F 3.885 3.081 10.268

12
Lattice="3.138 -5.442 0.000 3.138 5.442 0.000 -2.107 0.000 11.678" Properties=species:S:1:pos:R:3 comment="Nd6Sm3Ho2Mg | Alexandria via LeMat-Bulk | PBE | relaxed" spacegroup="C2/m (12)" ef_ev_per_atom=0.025 magmom_total_mub_per_cell=0.00 final_energy_ev_per_cell=-53.22 vol_a3_per_cell=398.85 pbc="T T T"
Nd 1.031 1.808 2.865
Nd -0.009 0.000 8.795
Nd 1.031 -1.808 2.865
Nd 3.138 1.808 8.813
Nd 4.177 0.000 2.883
Nd 3.138 -1.808 8.813
Sm 2.084 3.627 5.839
Sm 2.084 0.000 5.839
Sm 2.084 -3.627 5.839
Ho 3.138 1.812 0.000
Ho 3.138 -1.812 0.000
Mg 0.000 0.000 0.000

11
Lattice="4.958 -5.544 0.000 4.958 5.544 0.000 0.000 0.000 7.600" Properties=species:S:1:pos:R:3 comment="Pm2U2Te7 | Alexandria via LeMat-Bulk | PBE | relaxed" spacegroup="Cmmm (65)" relative_energy_ev_per_fu=2.27 magmom_total_mub_per_cell=4.00 final_energy_ev_per_cell=-62.48 vol_a3_per_cell=417.79 pbc="T T T"
Pm 2.249 0.000 0.000
Pm 7.666 0.000 0.000
U 4.958 2.950 3.800
U 4.958 -2.950 3.800
Te 0.000 0.000 2.035
Te 0.000 0.000 5.566
Te 2.479 2.772 1.824
Te 2.479 2.772 5.776
Te 2.479 -2.772 1.824
Te 2.479 -2.772 5.776
Te 4.958 0.000 3.800